Below is LiVN after structural relaxation, with properties calculated at the PBE level.

Cell: 2.8081 13.7430 2.7361 Å, 90.00 90.00 90.00°
Last column: nearest neighbours and their distance in Å.
Space group Cmcm (No. 63)
Asymmetric unit:
Li1 0.0000 0.2485 0.2500  4 Li 1.96, 4 N 2.02
V1 0.0000 0.0857 0.7500  4 N 2.11
N1 0.0000 0.3567 0.7500  4 Li 2.02, 4 V 2.11

Values from the calculation:
energy relative to the elements, uncorrected = -0.356 eV/atom
crystal system = orthorhombic
excess energy over the best structure of this formula in the dataset = 0.223 eV per atom

=====

Below is TmPtS after structural relaxation, with properties calculated at the PBE level.

Cell: 4.0581 10.8098 5.2152 Å, 90.00 90.00 90.00°
Last column: nearest neighbours and their distance in Å.
Space group Cmcm (No. 63)
Asymmetric unit:
Tm1 0.0000 0.1320 0.2500  4 S 2.68-2.81, 2 Pt 2.89
Pt1 0.0000 0.4422 0.2500  2 S 2.47
S1 0.0000 0.1887 0.7500  2 Pt 2.47, 2 Tm 2.68

Values from the calculation:
energy relative to the elements, uncorrected = -1.285 eV/atom
crystal system = orthorhombic
excess energy over the best structure of this formula in the dataset = 0.000 eV per atom

=====

Below is ZrAs2IrSe after structural relaxation, with properties calculated at the PBE level.

Cell: 5.1372 5.1372 5.0224 Å, 90.00 90.00 90.00°
Last column: nearest neighbours and their distance in Å.
Space group P4/mmm (No. 123)
Asymmetric unit:
Zr1 0.0000 0.0000 0.0000  2 Se 2.51, 4 As 2.57
As1 0.0000 0.5000 0.0000  2 Zr 2.57
Ir1 0.5000 0.5000 0.5000  8 As 3.59, 4 Se 3.63
Se1 0.0000 0.0000 0.5000  2 Zr 2.51

Values from the calculation:
energy relative to the elements, uncorrected = 0.970 eV/atom
crystal system = tetragonal
excess energy over the best structure of this formula in the dataset = 0.583 eV per atom

=====

Below is Y2HgRu after structural relaxation, with properties calculated at the PBE level.

Cell: 4.3287 4.3287 9.5340 Å, 90.00 90.00 90.00°
Last column: nearest neighbours and their distance in Å.
Space group I-4m2 (No. 119)
Asymmetric unit:
Y1 0.0000 0.0000 0.0000  4 Ru 3.06, 4 Hg 3.22, 4 Y 3.22
Y2 0.0000 0.5000 0.2500  4 Hg 3.06, 4 Ru 3.22, 4 Y 3.22
Hg1 0.0000 0.5000 0.7500  8 Y 3.06-3.22, 4 Ru 3.22
Ru1 0.0000 0.0000 0.5000  8 Y 3.06-3.22, 4 Hg 3.22

Values from the calculation:
E_form = -54.2 kJ/mol of formula units
crystal system = tetragonal